DFT (PBE) results for a relaxed structure of NaGa3Mo.

## Properties
E_form   0.12 eV/atom
Magnetization   0.000 μB per atom
D(E_F)   3.114 states/eV/f.u.
Symmetry   Pm-3m, No. 221

a b c (Å): 4.9459 4.9459 4.9459
angles (deg): 90.00 90.00 90.00
With the nearest neighbours (Å) after each atom.
Fractional positions:
Na  0.5000  0.5000  0.5000  12 Ga 3.50
Mo  0.0000  0.0000  0.0000  6 Ga 2.47
Ga  0.0000  0.5000  0.0000  2 Mo 2.47
Ga  0.5000  0.0000  0.0000  2 Mo 2.47
Ga  0.0000  0.0000  0.5000  2 Mo 2.47